Ce2PmZn2In2, relaxed, DFT PBE-GGA; E_form = -0.283 eV per atom; volume = 24.23 A^3/atom; SG = R-3m, No. 166
1.0
4.568 0.000 0.000
2.284 3.956 0.000
2.284 1.319 9.387
Ce Pm Zn In
2 1 2 2
direct
0.143 0.143 0.570 Ce
0.857 0.857 0.430 Ce
0.000 0.000 0.000 Pm
0.589 0.589 0.234 Zn
0.411 0.411 0.766 Zn
0.736 0.736 0.793 In
0.264 0.264 0.207 In